No. 1
DFT (PBE-GGA) results for SmPaS2O after structural relaxation.

SG = P4/nmm
Total magnetization = 0.0 μB/f.u.
E_form (uncorrected) = -2334 meV/atom
DOS at the Fermi energy = 3.7 states/eV/f.u.
Uncorrected energy = -78.2 eV per cell

Cell: 3.896 3.896 13.559 Å, 90.00 90.00 90.00°
Fractional positions:
S1 0.000 0.500 0.703
S2 0.500 0.000 0.297
S3 0.000 0.500 0.106
S4 0.500 0.000 0.894
Pa1 0.500 0.000 0.106
Pa2 0.000 0.500 0.894
Sm1 0.000 0.500 0.411
Sm2 0.500 0.000 0.589
O1 0.500 0.500 0.500
O2 0.000 0.000 0.500

No. 2
DFT (PBE-GGA) results for Pa3SnS2O6 after structural relaxation.

SG = C2/m
Total magnetization = 1.1 μB/f.u.
E_form (uncorrected) = -2593 meV/atom
DOS at the Fermi energy = 6.4 states/eV/f.u.
Uncorrected energy = -101.6 eV per cell

Cell: 5.426 7.453 7.358 Å, 120.43 76.95 90.00°
Fractional positions:
O1 0.258 0.623 0.827
O2 0.742 0.795 0.173
O3 0.258 0.205 0.827
O4 0.612 0.811 0.621
O5 0.742 0.377 0.173
O6 0.388 0.189 0.379
Pa1 0.000 0.500 0.000
Pa2 0.500 0.500 0.500
Pa3 0.500 0.000 0.500
S1 0.809 0.315 0.629
S2 0.191 0.685 0.371
Sn1 0.500 0.000 0.000

No. 3
DFT (PBE-GGA) results for Sr2PaS2O2 after structural relaxation.

SG = I4/mmm
Total magnetization = 0.9 μB/f.u.
E_form (uncorrected) = -2569 meV/atom
DOS at the Fermi energy = 4.5 states/eV/f.u.
Uncorrected energy = -49.0 eV per cell

Cell: 4.377 4.377 8.821 Å, 104.36 104.36 90.00°
Fractional positions:
Sr1 0.350 0.350 0.700
Sr2 0.650 0.650 0.300
Pa1 0.000 0.000 0.000
S1 0.170 0.170 0.340
S2 0.830 0.830 0.660
O1 0.000 0.500 0.000
O2 0.500 0.000 0.000

No. 4
DFT (PBE-GGA) results for UPaS2O after structural relaxation.

SG = P4/nmm
Total magnetization = 2.5 μB/f.u.
E_form (uncorrected) = -2073 meV/atom
DOS at the Fermi energy = 9.2 states/eV/f.u.
Uncorrected energy = -88.7 eV per cell

Cell: 3.826 3.826 13.090 Å, 90.00 90.00 90.00°
Fractional positions:
S1 0.000 0.500 0.118
S2 0.500 0.000 0.882
S3 0.000 0.500 0.692
S4 0.500 0.000 0.308
Pa1 0.000 0.500 0.900
Pa2 0.500 0.000 0.100
U1 0.000 0.500 0.398
U2 0.500 0.000 0.602
O1 0.000 0.000 0.500
O2 0.500 0.500 0.500

No. 5
DFT (PBE-GGA) results for Pa3ZnS2O6 after structural relaxation.

SG = C2/m
Total magnetization = 1.1 μB/f.u.
E_form (uncorrected) = -2635 meV/atom
DOS at the Fermi energy = 5.9 states/eV/f.u.
Uncorrected energy = -99.4 eV per cell

Cell: 5.703 7.608 6.988 Å, 122.98 78.26 90.00°
Fractional positions:
O1 0.748 0.786 0.178
O2 0.748 0.392 0.178
O3 0.252 0.214 0.822
O4 0.411 0.160 0.320
O5 0.252 0.608 0.822
O6 0.589 0.840 0.680
Pa1 0.500 0.500 0.500
Pa2 0.500 0.000 0.500
Pa3 0.000 0.500 0.000
Zn1 0.500 0.000 0.000
S1 0.807 0.306 0.612
S2 0.193 0.694 0.388

No. 6
DFT (PBE-GGA) results for Pa2Sb2O after structural relaxation.

SG = Cmc2_1
Total magnetization = 1.9 μB/f.u.
E_form (uncorrected) = -1278 meV/atom
DOS at the Fermi energy = 6.7 states/eV/f.u.
Uncorrected energy = -77.2 eV per cell

Cell: 4.133 7.992 7.908 Å, 90.00 105.15 90.00°
Fractional positions:
Pa1 0.547 0.894 0.094
Pa2 0.453 0.394 0.906
Pa3 0.856 0.047 0.712
Pa4 0.144 0.547 0.288
Sb1 0.064 0.195 0.128
Sb2 0.936 0.695 0.872
Sb3 0.213 0.906 0.426
Sb4 0.787 0.406 0.574
O1 0.410 0.093 0.819
O2 0.590 0.593 0.181

No. 7
DFT (PBE-GGA) results for PaSbO6 after structural relaxation.

SG = Fm-3m
Total magnetization = 2.1 μB/f.u.
E_form (uncorrected) = -1888 meV/atom
DOS at the Fermi energy = 3.3 states/eV/f.u.
Uncorrected energy = -58.5 eV per cell

Cell: 5.844 5.844 5.844 Å, 60.00 60.00 60.00°
Fractional positions:
O1 0.760 0.240 0.240
O2 0.760 0.760 0.240
O3 0.240 0.240 0.760
O4 0.760 0.240 0.760
O5 0.240 0.760 0.760
O6 0.240 0.760 0.240
Pa1 0.500 0.500 0.500
Sb1 0.000 0.000 0.000

No. 8
DFT (PBE-GGA) results for PaSb2O8 after structural relaxation.

SG = C2/m
Total magnetization = 1.0 μB/f.u.
E_form (uncorrected) = -1662 meV/atom
Uncorrected energy = -75.7 eV per cell

Cell: 3.859 5.751 5.751 Å, 113.67 94.73 94.73°
Fractional positions:
O1 0.947 0.685 0.942
O2 0.053 0.315 0.058
O3 0.053 0.058 0.315
O4 0.318 0.605 0.605
O5 0.500 0.241 0.759
O6 0.682 0.395 0.395
O7 0.500 0.759 0.241
O8 0.947 0.942 0.685
Sb1 0.000 0.681 0.319
Sb2 0.000 0.319 0.681
Pa1 0.500 0.000 0.000

No. 9
DFT (PBE-GGA) results for PaSbO5 after structural relaxation.

SG = C2/c
Total magnetization = 0.0 μB/f.u.
E_form (uncorrected) = -2509 meV/atom
DOS at the Fermi energy = 0.0 states/eV/f.u.
Uncorrected energy = -111.9 eV per cell

Cell: 5.541 5.541 7.677 Å, 69.80 69.80 72.92°
Fractional positions:
O1 0.292 0.691 0.469
O2 0.910 0.090 0.250
O3 0.773 0.733 0.126
O4 0.691 0.292 0.969
O5 0.267 0.227 0.374
O6 0.733 0.773 0.626
O7 0.708 0.309 0.531
O8 0.309 0.708 0.031
O9 0.227 0.267 0.874
O10 0.090 0.910 0.750
Sb1 0.000 0.000 0.500
Sb2 0.000 0.000 0.000
Pa1 0.465 0.535 0.750
Pa2 0.535 0.465 0.250

No. 10
DFT (PBE-GGA) results for Pa5Sb3O12 after structural relaxation.

SG = Ia-3d
Total magnetization = 0.0 μB/f.u.
E_form (uncorrected) = -2427 meV/atom
DOS at the Fermi energy = 7.2 states/eV/f.u.
Uncorrected energy = -671.5 eV per cell

Cell: 12.385 12.385 12.385 Å, 109.47 109.47 109.47°
Fractional positions:
Sb1 0.875 0.750 0.125
Sb2 0.375 0.750 0.625
Sb3 0.375 0.625 0.250
Sb4 0.625 0.250 0.375
Sb5 0.750 0.375 0.125
Sb6 0.750 0.875 0.625
Sb7 0.250 0.125 0.375
Sb8 0.625 0.375 0.750
Sb9 0.250 0.625 0.875
Sb10 0.125 0.250 0.875
Sb11 0.875 0.125 0.250
Sb12 0.125 0.875 0.750
O1 0.309 0.494 0.428
O2 0.066 0.381 0.072
O3 0.381 0.066 0.572
O4 0.619 0.934 0.428
O5 0.928 0.119 0.934
O6 0.881 0.072 0.566
O7 0.072 0.881 0.066
O8 0.934 0.619 0.928
O9 0.119 0.191 0.185
O10 0.315 0.381 0.809
O11 0.309 0.815 0.381
O12 0.315 0.934 0.006
O13 0.066 0.685 0.494
O14 0.994 0.566 0.685
O15 0.815 0.309 0.881
O16 0.119 0.928 0.434
O17 0.934 0.315 0.506
O18 0.928 0.809 0.494
O19 0.506 0.691 0.072
O20 0.494 0.309 0.928
O21 0.434 0.428 0.119
O22 0.185 0.494 0.566
O23 0.006 0.434 0.315
O24 0.494 0.185 0.066
O25 0.881 0.809 0.815
O26 0.685 0.619 0.191
O27 0.428 0.434 0.619
O28 0.566 0.572 0.881
O29 0.428 0.994 0.309
O30 0.185 0.691 0.119
O31 0.572 0.006 0.691
O32 0.191 0.072 0.006
O33 0.572 0.566 0.381
O34 0.072 0.191 0.506
O35 0.809 0.881 0.315
O36 0.506 0.815 0.934
O37 0.994 0.428 0.809
O38 0.691 0.185 0.619
O39 0.381 0.315 0.309
O40 0.191 0.119 0.685
O41 0.566 0.994 0.185
O42 0.685 0.066 0.994
O43 0.815 0.506 0.434
O44 0.619 0.685 0.691
O45 0.809 0.928 0.994
O46 0.434 0.006 0.815
O47 0.691 0.506 0.572
O48 0.006 0.572 0.191
Pa1 0.500 0.500 0.500
Pa2 0.000 0.500 0.500
Pa3 0.750 0.125 0.875
Pa4 0.125 0.375 0.250
Pa5 0.125 0.750 0.375
Pa6 0.875 0.250 0.625
Pa7 0.250 0.375 0.625
Pa8 0.375 0.125 0.750
Pa9 0.000 0.500 0.000
Pa10 0.500 0.000 0.500
Pa11 0.375 0.250 0.125
Pa12 0.625 0.750 0.875
Pa13 0.250 0.875 0.125
Pa14 0.875 0.625 0.750
Pa15 0.000 0.000 0.000
Pa16 0.000 0.000 0.500
Pa17 0.750 0.625 0.375
Pa18 0.500 0.500 0.000
Pa19 0.625 0.875 0.250
Pa20 0.500 0.000 0.000

No. 11
DFT (PBE-GGA) results for Pa2SbO7 after structural relaxation.

SG = R-3m
Total magnetization = 0.0 μB/f.u.
E_form (uncorrected) = -2782 meV/atom
DOS at the Fermi energy = 2.9 states/eV/f.u.
Uncorrected energy = -85.6 eV per cell

Cell: 3.850 3.850 10.648 Å, 79.58 79.58 60.00°
Fractional positions:
Pa1 0.933 0.933 0.202
Pa2 0.067 0.067 0.798
O1 0.855 0.855 0.434
O2 0.145 0.145 0.566
O3 0.721 0.721 0.837
O4 0.279 0.279 0.163
O5 0.000 0.000 0.000
O6 0.572 0.572 0.285
O7 0.428 0.428 0.715
Sb1 0.500 0.500 0.500

No. 12
DFT (PBE-GGA) results for Pa2SbO8 after structural relaxation.

SG = C2/m
Total magnetization = 0.0 μB/f.u.
E_form (uncorrected) = -2606 meV/atom
DOS at the Fermi energy = 8.4 states/eV/f.u.
Uncorrected energy = -91.4 eV per cell

Cell: 4.717 6.498 6.498 Å, 66.28 60.47 60.47°
Fractional positions:
O1 0.020 0.049 0.668
O2 0.484 0.138 0.138
O3 0.980 0.332 0.951
O4 0.640 0.575 0.575
O5 0.516 0.862 0.862
O6 0.360 0.425 0.425
O7 0.020 0.668 0.049
O8 0.980 0.951 0.332
Pa1 0.024 0.665 0.665
Pa2 0.976 0.335 0.335
Sb1 0.000 0.000 0.000

No. 13
DFT (PBE-GGA) results for Pa2SbO2 after structural relaxation.

SG = I4/mmm
Total magnetization = 2.9 μB/f.u.
E_form (uncorrected) = -2329 meV/atom
DOS at the Fermi energy = 7.4 states/eV/f.u.
Uncorrected energy = -44.7 eV per cell

Cell: 3.901 3.901 6.911 Å, 106.39 106.39 90.00°
Fractional positions:
Pa1 0.354 0.354 0.707
Pa2 0.646 0.646 0.293
O1 0.250 0.750 0.500
O2 0.750 0.250 0.500
Sb1 0.000 0.000 0.000

No. 14
DFT (PBE-GGA) results for PaSb2O6 after structural relaxation.

SG = C2/m
Total magnetization = 0.0 μB/f.u.
E_form (uncorrected) = -2046 meV/atom
DOS at the Fermi energy = 2.2 states/eV/f.u.
Uncorrected energy = -65.9 eV per cell

Cell: 3.915 5.752 6.657 Å, 94.46 107.10 90.00°
Fractional positions:
O1 0.773 0.384 0.545
O2 0.418 0.352 0.836
O3 0.094 0.229 0.189
O4 0.227 0.616 0.455
O5 0.582 0.648 0.164
O6 0.906 0.771 0.811
Sb1 0.743 0.749 0.485
Sb2 0.257 0.251 0.515
Pa1 0.000 0.500 0.000

No. 15
DFT (PBE-GGA) results for ScPaSbO6 after structural relaxation.

SG = P-31c
Total magnetization = 0.0 μB/f.u.
E_form (uncorrected) = -2713 meV/atom
DOS at the Fermi energy = 5.4 states/eV/f.u.
Uncorrected energy = -148.2 eV per cell

Cell: 5.434 5.434 9.653 Å, 90.00 90.00 120.00°
Fractional positions:
Sb1 0.667 0.333 0.250
Sb2 0.333 0.667 0.750
O1 0.000 0.665 0.368
O2 0.000 0.335 0.632
O3 0.000 0.664 0.868
O4 0.335 0.000 0.132
O5 0.335 0.336 0.368
O6 0.336 0.335 0.868
O7 0.000 0.336 0.132
O8 0.336 0.000 0.632
O9 0.665 0.664 0.632
O10 0.665 0.000 0.868
O11 0.664 0.665 0.132
O12 0.664 0.000 0.368
Sc1 0.667 0.333 0.750
Sc2 0.333 0.667 0.250
Pa1 0.000 0.000 0.500
Pa2 0.000 0.000 0.000

No. 16
DFT (PBE-GGA) results for ScPaSb2O8 after structural relaxation.

SG = Cmmm
Total magnetization = 0.0 μB/f.u.
E_form (uncorrected) = -2381 meV/atom
DOS at the Fermi energy = 2.1 states/eV/f.u.
Uncorrected energy = -92.3 eV per cell

Cell: 4.972 4.971 6.788 Å, 90.00 90.00 89.41°
Fractional positions:
O1 0.691 0.692 0.000
O2 0.809 0.192 0.247
O3 0.683 0.684 0.500
O4 0.191 0.808 0.753
O5 0.309 0.308 0.000
O6 0.809 0.192 0.753
O7 0.191 0.808 0.247
O8 0.317 0.316 0.500
Pa1 0.000 0.000 0.500
Sb1 0.500 0.500 0.761
Sb2 0.500 0.500 0.239
Sc1 0.000 0.000 0.000

No. 17
DFT (PBE-GGA) results for Sc2PaSbO8 after structural relaxation.

SG = Cmmm
Total magnetization = 0.0 μB/f.u.
E_form (uncorrected) = -2920 meV/atom
DOS at the Fermi energy = 0.0 states/eV/f.u.
Uncorrected energy = -101.0 eV per cell

Cell: 4.849 4.850 6.676 Å, 90.00 90.00 91.35°
Fractional positions:
O1 0.192 0.807 0.771
O2 0.808 0.193 0.229
O3 0.690 0.691 0.500
O4 0.310 0.309 0.500
O5 0.808 0.193 0.771
O6 0.704 0.705 0.000
O7 0.192 0.807 0.229
O8 0.296 0.295 0.000
Sb1 0.000 0.000 0.000
Pa1 0.000 0.000 0.500
Sc1 0.500 0.500 0.762
Sc2 0.500 0.500 0.238

No. 18
DFT (PBE-GGA) results for Sm2PaSbO8 after structural relaxation.

SG = P2/m
Total magnetization = 0.0 μB/f.u.
E_form (uncorrected) = -2887 meV/atom
DOS at the Fermi energy = 0.0 states/eV/f.u.
Uncorrected energy = -97.4 eV per cell

Cell: 5.119 5.123 6.970 Å, 90.00 90.00 92.05°
Fractional positions:
O1 0.704 0.707 0.500
O2 0.177 0.821 0.231
O3 0.278 0.277 0.000
O4 0.823 0.179 0.769
O5 0.722 0.723 0.000
O6 0.823 0.179 0.231
O7 0.177 0.821 0.769
O8 0.296 0.293 0.500
Pa1 0.000 0.000 0.500
Sm1 0.500 0.500 0.759
Sm2 0.500 0.500 0.241
Sb1 0.000 0.000 0.000